Entry from the Alexandria database: a relaxed CsBe2Pt2 crystal (PBEsol).

abc: 3.6477 3.6477 14.6603
angles: 90.00 90.00 90.00
With the nearest neighbours (Å) after each atom.
Space group I4/mmm (No. 139)
Asymmetric unit:
Cs  0.0000  0.0000  0.0000 x2  8 Pt 3.50, 4 Cs 3.65
Be  0.0000  0.5000  0.2500 x4  4 Pt 2.24
Pt  0.0000  0.0000  0.3387 x4  4 Be 2.24

Formation energy from the elements: -0.110 eV/atom
Calculated density: 9.212 g cm⁻³

Entry from the Alexandria database: a relaxed LiCoBi2Os crystal (PBEsol).

abc: 5.0055 5.0055 4.4917
angles: 90.00 90.00 90.00
With the nearest neighbours (Å) after each atom.
Space group P4/mmm (No. 123)
Asymmetric unit:
Li  0.0000  0.0000  0.0000 x1  8 Bi 3.36, 4 Os 3.54
Co  0.5000  0.5000  0.5000 x1  2 Os 2.25, 4 Bi 2.50
Bi  0.0000  0.5000  0.5000 x2  2 Co 2.50
Os  0.5000  0.5000  0.0000 x1  2 Co 2.25

Formation energy from the elements: 0.899 eV/atom
Calculated density: 9.946 g cm⁻³

Entry from the Alexandria database: a relaxed Nb3Fe crystal (PBEsol).

abc: 6.3016 6.3016 6.3016
angles: 90.00 90.00 90.00
With the nearest neighbours (Å) after each atom.
Space group Fm-3m (No. 225)
Asymmetric unit:
Nb  0.0000  0.0000  0.0000 x4  8 Nb 2.73
Nb  0.2500  0.2500  0.2500 x8  4 Nb 2.73, 4 Fe 2.73
Fe  0.0000  0.0000  0.5000 x4  8 Nb 2.73

Formation energy from the elements: 0.017 eV/atom
Calculated density: 8.880 g cm⁻³

Entry from the Alexandria database: a relaxed MnTlTe crystal (PBEsol).

abc: 6.7219 6.7219 6.7219
angles: 90.00 90.00 90.00
With the nearest neighbours (Å) after each atom.
Space group F-43m (No. 216)
Asymmetric unit:
Mn  0.0000  0.0000  0.0000 x4  4 Tl 2.91, 4 Te 2.91
Tl  0.2500  0.2500  0.2500 x4  4 Mn 2.91
Te  0.2500  0.2500  0.7500 x4  4 Mn 2.91

ΔE_f (raw): 0.27 eV/atom
Energy relative to the lowest polymorph listed for this composition: 0 meV per atom
Calculated density: 8.462 g cm⁻³

Entry from the Alexandria database: a relaxed Y2MgCd crystal (PBEsol).

abc: 3.4585 4.9241 6.3562
angles: 90.00 105.90 90.00
With the nearest neighbours (Å) after each atom.
Space group Pm (No. 6)
Asymmetric unit:
Y  0.0000  0.0000  0.0000 x1  4 Cd 3.24, 3 Mg 3.28-3.32, 6 Y 3.46-3.63
Y  0.3348  0.5000  0.6684 x1  3 Cd 3.23-3.36, 4 Mg 3.26, 2 Y 3.46
Mg  0.7324  0.0000  0.4638 x1  2 Cd 2.95, 5 Y 3.26-3.28
Cd  0.5994  0.5000  0.1976 x1  2 Mg 2.95, 5 Y 3.23-3.24

Formation energy from the elements: -0.177 eV/atom
Calculated density: 5.017 g cm⁻³

Entry from the Alexandria database: a relaxed Fe2ReRu crystal (PBEsol).

abc: 5.8877 5.8877 5.8877
angles: 90.00 90.00 90.00
With the nearest neighbours (Å) after each atom.
Space group F-43m (No. 216)
Asymmetric unit:
Fe  0.0000  0.0000  0.0000 x4  4 Fe 2.55, 4 Ru 2.55
Fe  0.2500  0.2500  0.2500 x4  4 Fe 2.55, 4 Re 2.55
Re  0.0000  0.0000  0.5000 x4  4 Fe 2.55, 4 Ru 2.55
Ru  0.2500  0.2500  0.7500 x4  4 Fe 2.55, 4 Re 2.55

Formation energy from the elements: 0.243 eV/atom
Calculated density: 12.984 g cm⁻³